Here is a geometry-optimized Te2AsCl structure from Alexandria. Energies are from GGA-PBE.

Properties
* distance to the lowest polymorph of the same formula: 0.252 eV per atom
* energy relative to the elements, uncorrected: 0.44 eV per formula unit
* DOS at the Fermi energy: 1.87 states/eV per cell
* calculated total energy: -3.09 eV/atom

Cell lengths 3.115, 4.804, 6.719 Å; angles 90.00, 90.09, 90.00 degrees
Space group Pm (No. 6)
One atom of each set of equivalent atoms:
Te: 0.000 0.000 0.000 x1
Te: 0.003 0.500 0.685 x1
As: 0.998 0.000 0.432 x1
Cl: 0.503 0.500 0.209 x1